A geometry-optimized RbHfAsO6 structure. Source: the Alexandria database, functional PBE.

CIF file:
```
data_RbHfAsO6
_cell_length_a 5.497
_cell_length_b 5.497
_cell_length_c 5.943
_cell_angle_alpha 90.55
_cell_angle_beta 90.55
_cell_angle_gamma 118.87
_space_group_name_H-M_alt 'P 1'
_space_group_IT_number 1
loop_
_space_group_symop_operation_xyz
'x,y,z'
loop_
_atom_site_label
_atom_site_type_symbol
_atom_site_fract_x
_atom_site_fract_y
_atom_site_fract_z
_atom_site_occupancy
Rb1 Rb 0.000 0.000 0.000 1
Hf1 Hf 0.345 0.655 0.500 1
As1 As 0.655 0.345 0.500 1
O1 O 0.422 0.393 0.306 1
O2 O 0.424 0.034 0.662 1
O3 O 0.606 0.024 0.340 1
O4 O 0.607 0.578 0.694 1
O5 O 0.966 0.576 0.338 1
O6 O 0.976 0.394 0.660 1
```

Computed properties:
Its crystal system is monoclinic. The uncorrected formation energy comes out at -1.708 eV per atom. The total magnetization comes out at 2.1 Bohr magnetons per cell.

---

A geometry-optimized HfAsRhO2 structure. Source: the Alexandria database, functional PBE.

CIF file:
```
data_HfAsRhO2
_cell_length_a 3.869
_cell_length_b 3.869
_cell_length_c 4.856
_cell_angle_alpha 90.00
_cell_angle_beta 90.00
_cell_angle_gamma 90.00
_space_group_name_H-M_alt 'P 1'
_space_group_IT_number 1
loop_
_space_group_symop_operation_xyz
'x,y,z'
loop_
_atom_site_label
_atom_site_type_symbol
_atom_site_fract_x
_atom_site_fract_y
_atom_site_fract_z
_atom_site_occupancy
Hf1 Hf 0.000 0.000 0.000 1
As1 As 0.500 0.500 0.500 1
Rh1 Rh 0.500 0.500 0.000 1
O1 O 0.000 0.500 0.500 1
O2 O 0.500 0.000 0.500 1
```

Computed properties:
Its crystal system is tetragonal. The uncorrected formation energy comes out at -0.447 eV per atom. The total magnetization comes out at 0.0 Bohr magnetons per cell.

---

A geometry-optimized HfAsS2O structure. Source: the Alexandria database, functional PBE.

CIF file:
```
data_HfAsS2O
_cell_length_a 4.455
_cell_length_b 4.455
_cell_length_c 5.283
_cell_angle_alpha 90.00
_cell_angle_beta 90.00
_cell_angle_gamma 90.00
_space_group_name_H-M_alt 'P 1'
_space_group_IT_number 1
loop_
_space_group_symop_operation_xyz
'x,y,z'
loop_
_atom_site_label
_atom_site_type_symbol
_atom_site_fract_x
_atom_site_fract_y
_atom_site_fract_z
_atom_site_occupancy
Hf1 Hf 0.000 0.000 0.000 1
As1 As 0.000 0.000 0.500 1
S1 S 0.000 0.500 0.500 1
S2 S 0.500 0.000 0.500 1
O1 O 0.500 0.500 0.000 1
```

Computed properties:
Its crystal system is tetragonal. The uncorrected formation energy comes out at 0.779 eV per atom. The total magnetization comes out at 0.0 Bohr magnetons per cell.

---

A geometry-optimized HfAsSe2O structure. Source: the Alexandria database, functional PBE.

CIF file:
```
data_HfAsSe2O
_cell_length_a 5.069
_cell_length_b 5.069
_cell_length_c 5.286
_cell_angle_alpha 90.00
_cell_angle_beta 90.00
_cell_angle_gamma 90.00
_space_group_name_H-M_alt 'P 1'
_space_group_IT_number 1
loop_
_space_group_symop_operation_xyz
'x,y,z'
loop_
_atom_site_label
_atom_site_type_symbol
_atom_site_fract_x
_atom_site_fract_y
_atom_site_fract_z
_atom_site_occupancy
Hf1 Hf 0.000 0.000 0.000 1
As1 As 0.000 0.000 0.500 1
Se1 Se 0.000 0.500 0.000 1
Se2 Se 0.500 0.000 0.000 1
O1 O 0.500 0.500 0.500 1
```

Computed properties:
Its crystal system is tetragonal. The uncorrected formation energy comes out at 0.417 eV per atom. The total magnetization comes out at 0.4 Bohr magnetons per cell.

---

A geometry-optimized HfAsSe2O structure. Source: the Alexandria database, functional PBE.

CIF file:
```
data_HfAsSe2O
_cell_length_a 4.515
_cell_length_b 4.515
_cell_length_c 4.292
_cell_angle_alpha 90.00
_cell_angle_beta 90.00
_cell_angle_gamma 90.00
_space_group_name_H-M_alt 'P 1'
_space_group_IT_number 1
loop_
_space_group_symop_operation_xyz
'x,y,z'
loop_
_atom_site_label
_atom_site_type_symbol
_atom_site_fract_x
_atom_site_fract_y
_atom_site_fract_z
_atom_site_occupancy
Hf1 Hf 0.000 0.000 0.000 1
As1 As 0.500 0.500 0.000 1
Se1 Se 0.000 0.500 0.500 1
Se2 Se 0.500 0.000 0.500 1
O1 O 0.500 0.500 0.500 1
```

Computed properties:
Its crystal system is tetragonal. The uncorrected formation energy comes out at -0.035 eV per atom. The total magnetization comes out at 0.0 Bohr magnetons per cell.

---

A geometry-optimized SrHfAs2O8 structure. Source: the Alexandria database, functional PBE.

CIF file:
```
data_SrHfAs2O8
_cell_length_a 5.511
_cell_length_b 5.511
_cell_length_c 7.159
_cell_angle_alpha 90.00
_cell_angle_beta 90.00
_cell_angle_gamma 120.00
_space_group_name_H-M_alt 'P 1'
_space_group_IT_number 1
loop_
_space_group_symop_operation_xyz
'x,y,z'
loop_
_atom_site_label
_atom_site_type_symbol
_atom_site_fract_x
_atom_site_fract_y
_atom_site_fract_z
_atom_site_occupancy
Sr1 Sr 0.000 0.000 0.000 1
Hf1 Hf 0.000 0.000 0.500 1
As1 As 0.333 0.667 0.768 1
As2 As 0.667 0.333 0.232 1
O1 O 0.139 0.330 0.684 1
O2 O 0.191 0.861 0.684 1
O3 O 0.330 0.191 0.316 1
O4 O 0.333 0.667 0.002 1
O5 O 0.667 0.333 0.998 1
O6 O 0.670 0.809 0.684 1
O7 O 0.809 0.139 0.316 1
O8 O 0.861 0.670 0.316 1
```

Computed properties:
Its crystal system is trigonal. The uncorrected formation energy comes out at -2.166 eV per atom. The total magnetization comes out at 0.0 Bohr magnetons per cell.

---

A geometry-optimized HfThAs2O structure. Source: the Alexandria database, functional PBE.

CIF file:
```
data_HfThAs2O
_cell_length_a 3.912
_cell_length_b 3.912
_cell_length_c 13.432
_cell_angle_alpha 90.00
_cell_angle_beta 90.00
_cell_angle_gamma 90.00
_space_group_name_H-M_alt 'P 1'
_space_group_IT_number 1
loop_
_space_group_symop_operation_xyz
'x,y,z'
loop_
_atom_site_label
_atom_site_type_symbol
_atom_site_fract_x
_atom_site_fract_y
_atom_site_fract_z
_atom_site_occupancy
Hf1 Hf 0.250 0.250 0.102 1
Hf2 Hf 0.750 0.750 0.898 1
Th1 Th 0.250 0.250 0.603 1
Th2 Th 0.750 0.750 0.397 1
As1 As 0.250 0.250 0.295 1
As2 As 0.250 0.250 0.893 1
As3 As 0.750 0.750 0.107 1
As4 As 0.750 0.750 0.705 1
O1 O 0.250 0.750 0.500 1
O2 O 0.750 0.250 0.500 1
```

Computed properties:
Its crystal system is tetragonal. The uncorrected formation energy comes out at -1.826 eV per atom. The total magnetization comes out at 0.0 Bohr magnetons per cell.

---

A geometry-optimized HfTlAsO5 structure. Source: the Alexandria database, functional PBE.

CIF file:
```
data_HfTlAsO5
_cell_length_a 6.074
_cell_length_b 6.074
_cell_length_c 7.759
_cell_angle_alpha 105.80
_cell_angle_beta 105.80
_cell_angle_gamma 105.25
_space_group_name_H-M_alt 'P 1'
_space_group_IT_number 1
loop_
_space_group_symop_operation_xyz
'x,y,z'
loop_
_atom_site_label
_atom_site_type_symbol
_atom_site_fract_x
_atom_site_fract_y
_atom_site_fract_z
_atom_site_occupancy
Hf1 Hf 0.000 0.000 0.000 1
Hf2 Hf 0.000 0.000 0.500 1
Tl1 Tl 0.323 0.677 0.750 1
Tl2 Tl 0.677 0.323 0.250 1
As1 As 0.311 0.689 0.250 1
As2 As 0.689 0.311 0.750 1
O1 O 0.056 0.944 0.750 1
O2 O 0.127 0.713 0.385 1
O3 O 0.219 0.387 0.102 1
O4 O 0.287 0.873 0.115 1
O5 O 0.387 0.219 0.602 1
O6 O 0.613 0.781 0.398 1
O7 O 0.713 0.127 0.885 1
O8 O 0.781 0.613 0.898 1
O9 O 0.873 0.287 0.615 1
O10 O 0.944 0.056 0.250 1
```

Computed properties:
Its crystal system is monoclinic. The uncorrected formation energy comes out at -1.995 eV per atom. The total magnetization comes out at 0.0 Bohr magnetons per cell.

---

A geometry-optimized HfTl2AsO6 structure. Source: the Alexandria database, functional PBE.

CIF file:
```
data_HfTl2AsO6
_cell_length_a 6.182
_cell_length_b 6.182
_cell_length_c 5.389
_cell_angle_alpha 90.00
_cell_angle_beta 90.00
_cell_angle_gamma 120.00
_space_group_name_H-M_alt 'P 1'
_space_group_IT_number 1
loop_
_space_group_symop_operation_xyz
'x,y,z'
loop_
_atom_site_label
_atom_site_type_symbol
_atom_site_fract_x
_atom_site_fract_y
_atom_site_fract_z
_atom_site_occupancy
Hf1 Hf 0.000 0.000 0.000 1
Tl1 Tl 0.333 0.667 0.554 1
Tl2 Tl 0.667 0.333 0.446 1
As1 As 0.000 0.000 0.500 1
O1 O 0.138 0.275 0.282 1
O2 O 0.138 0.862 0.282 1
O3 O 0.275 0.138 0.718 1
O4 O 0.725 0.862 0.282 1
O5 O 0.862 0.138 0.718 1
O6 O 0.862 0.725 0.718 1
```

Computed properties:
Its crystal system is trigonal. The uncorrected formation energy comes out at -1.459 eV per atom. The total magnetization comes out at 0.0 Bohr magnetons per cell.

---

A geometry-optimized HfUAs2O structure. Source: the Alexandria database, functional PBE.

CIF file:
```
data_HfUAs2O
_cell_length_a 3.783
_cell_length_b 3.783
_cell_length_c 13.234
_cell_angle_alpha 90.00
_cell_angle_beta 90.00
_cell_angle_gamma 90.00
_space_group_name_H-M_alt 'P 1'
_space_group_IT_number 1
loop_
_space_group_symop_operation_xyz
'x,y,z'
loop_
_atom_site_label
_atom_site_type_symbol
_atom_site_fract_x
_atom_site_fract_y
_atom_site_fract_z
_atom_site_occupancy
Hf1 Hf 0.250 0.250 0.091 1
Hf2 Hf 0.750 0.750 0.909 1
U1 U 0.250 0.250 0.601 1
U2 U 0.750 0.750 0.399 1
As1 As 0.250 0.250 0.298 1
As2 As 0.250 0.250 0.881 1
As3 As 0.750 0.750 0.119 1
As4 As 0.750 0.750 0.702 1
O1 O 0.250 0.750 0.500 1
O2 O 0.750 0.250 0.500 1
```

Computed properties:
Its crystal system is tetragonal. The uncorrected formation energy comes out at -1.527 eV per atom. The total magnetization comes out at 3.1 Bohr magnetons per cell.

---

A geometry-optimized Hf2AsOs structure. Source: the Alexandria database, functional PBE.

CIF file:
```
data_Hf2AsOs
_cell_length_a 6.634
_cell_length_b 6.634
_cell_length_c 6.634
_cell_angle_alpha 90.00
_cell_angle_beta 90.00
_cell_angle_gamma 90.00
_space_group_name_H-M_alt 'P 1'
_space_group_IT_number 1
loop_
_space_group_symop_operation_xyz
'x,y,z'
loop_
_atom_site_label
_atom_site_type_symbol
_atom_site_fract_x
_atom_site_fract_y
_atom_site_fract_z
_atom_site_occupancy
Hf1 Hf 0.250 0.250 0.250 1
Hf2 Hf 0.250 0.250 0.750 1
Hf3 Hf 0.250 0.750 0.250 1
Hf4 Hf 0.250 0.750 0.750 1
Hf5 Hf 0.750 0.250 0.250 1
Hf6 Hf 0.750 0.250 0.750 1
Hf7 Hf 0.750 0.750 0.250 1
Hf8 Hf 0.750 0.750 0.750 1
As1 As 0.000 0.000 0.000 1
As2 As 0.000 0.500 0.500 1
As3 As 0.500 0.000 0.500 1
As4 As 0.500 0.500 0.000 1
Os1 Os 0.000 0.000 0.500 1
Os2 Os 0.000 0.500 0.000 1
Os3 Os 0.500 0.000 0.000 1
Os4 Os 0.500 0.500 0.500 1
```

Computed properties:
Its crystal system is cubic. The value obtained for the total energy is -9.2351 eV/atom. The total magnetization comes out at 0.0 Bohr magnetons per cell.

---

A geometry-optimized Hf8As2Os structure. Source: the Alexandria database, functional PBE.

CIF file:
```
data_Hf8As2Os
_cell_length_a 8.315
_cell_length_b 8.315
_cell_length_c 7.202
_cell_angle_alpha 111.60
_cell_angle_beta 111.60
_cell_angle_gamma 28.52
_space_group_name_H-M_alt 'P 1'
_space_group_IT_number 1
loop_
_space_group_symop_operation_xyz
'x,y,z'
loop_
_atom_site_label
_atom_site_type_symbol
_atom_site_fract_x
_atom_site_fract_y
_atom_site_fract_z
_atom_site_occupancy
Hf1 Hf 0.035 0.035 0.305 1
Hf2 Hf 0.182 0.182 0.786 1
Hf3 Hf 0.326 0.326 0.565 1
Hf4 Hf 0.415 0.415 0.039 1
Hf5 Hf 0.585 0.585 0.961 1
Hf6 Hf 0.674 0.674 0.435 1
Hf7 Hf 0.818 0.818 0.214 1
Hf8 Hf 0.965 0.965 0.695 1
As1 As 0.192 0.192 0.183 1
As2 As 0.808 0.808 0.817 1
Os1 Os 0.500 0.500 0.500 1
```

Computed properties:
Its crystal system is monoclinic. The value obtained for the total energy is -9.4946 eV/atom. The total magnetization comes out at 0.0 Bohr magnetons per cell.